(1)
VASP calculation (PBE) on a relaxed structure of LaZnCu2.

Symmetry ... P4/mmm, No. 123
ΔE_f ... -1.324 kcal/mol of atoms

```
4
Lattice="-2.312 1.566 -1.645 -0.956 -2.803 -1.324 -4.402 -0.981 5.253" Properties=species:S:1:pos:R:3 pbc="T T T"
Cu -4.112 -0.917 4.907
Cu -2.491 -0.555 2.973
La -2.735 -0.864 -0.172
Zn -4.936 -1.355 2.455
```

---

(2)
VASP calculation (PBE) on a relaxed structure of NdDyTc4.

Symmetry ... F-43m, No. 216
ΔE_f ... -0.772 kcal/mol of atoms

```
6
Lattice="5.450 0.000 0.000 2.725 4.720 0.000 2.725 1.573 4.450" Properties=species:S:1:pos:R:3 pbc="T T T"
Nd 2.725 1.573 1.112
Tc 5.450 3.147 0.555
Tc 5.450 1.572 2.782
Tc 6.814 3.934 2.782
Tc 4.086 3.934 2.782
Dy 0.000 0.000 0.000
```

---

(3)
VASP calculation (PBE) on a relaxed structure of LaCeGaIr.

Symmetry ... F-43m, No. 216
ΔE_f ... -11.542 kcal/mol of atoms

```
4
Lattice="-2.934 3.620 -2.132 -4.488 1.247 2.136 -0.562 4.536 2.317" Properties=species:S:1:pos:R:3 pbc="T T T"
Ir -5.989 7.052 1.741
Ga -1.996 2.351 0.580
Ce 0.000 0.000 0.000
La -3.992 4.701 1.161
```

---

(4)
VASP calculation (PBE) on a relaxed structure of Cd2InCl5.

Symmetry ... Cmcm, No. 63
Formation energy from raw total energies ... -0.996 eV per atom

```
16
Lattice="5.491 0.000 0.000 -2.745 6.194 0.000 0.000 0.000 13.202" Properties=species:S:1:pos:R:3 pbc="T T T"
Cd 2.745 4.366 5.821
Cd 2.745 4.366 0.780
Cd 0.000 1.828 7.381
Cd 0.000 1.828 12.422
In 0.000 5.748 9.901
In 2.745 0.446 3.300
Cl 2.745 5.582 11.593
Cl 2.745 5.582 8.209
Cl 0.000 4.152 6.168
Cl 0.000 4.152 0.433
Cl 2.745 3.432 3.300
Cl 0.000 2.761 9.901
Cl 2.745 2.042 7.033
Cl 2.745 2.042 12.769
Cl 0.000 0.612 1.609
Cl 0.000 0.612 4.992
```

---

We obtain total magnetic moment values of 0.00, 0.00, 0.42, 0.00 μB per formula unit for the records listed above, in that order.